# 1
First-principles (PBE) data for crystalline Ni4BiH7 at its relaxed geometry, as listed in Alexandria.

a = 3.414 Å, b = 5.196 Å, c = 11.359 Å
α = 90.00°, β = 90.00°, γ = 90.00°
Fractional coordinates of all 24 atoms:
H1 0.013 0.623 0.384
Ni1 0.013 0.834 0.283
H2 0.513 0.834 0.740
Ni2 0.513 0.685 0.874
H3 0.013 0.655 0.839
Ni3 0.513 0.166 0.217
H4 0.513 0.345 0.661
Ni4 0.513 0.685 0.126
Bi1 0.512 0.972 0.500
H5 0.013 0.166 0.240
H6 0.512 0.553 0.000
H7 0.013 0.166 0.760
Ni5 0.013 0.834 0.717
H8 0.013 0.655 0.161
H9 0.513 0.377 0.884
H10 0.513 0.377 0.116
Ni6 0.013 0.315 0.374
Ni7 0.513 0.166 0.783
H11 0.513 0.834 0.260
Bi2 0.012 0.028 0.000
Ni8 0.013 0.315 0.626
H12 0.513 0.345 0.339
H13 0.012 0.447 0.500
H14 0.013 0.623 0.616

Output
For the calculated total energy, the calculation gives -99.34 eV for the cell shown. The spin magnetization is 0.00 μB per cell. The volume comes out at 8.40 Å³ per atom.


# 2
First-principles (PBE) data for crystalline NiBiH at its relaxed geometry, as listed in Alexandria.

a = 8.470 Å, b = 3.288 Å, c = 6.550 Å
α = 105.63°, β = 90.00°, γ = 90.00°
Fractional coordinates of all 12 atoms:
Ni1 0.948 0.835 0.640
Ni2 0.552 0.335 0.140
Ni3 0.052 0.165 0.360
Ni4 0.448 0.665 0.860
Bi1 0.183 0.152 0.965
Bi2 0.817 0.848 0.035
H1 0.988 0.681 0.380
Bi3 0.683 0.348 0.535
H2 0.512 0.181 0.880
H3 0.012 0.319 0.620
Bi4 0.317 0.652 0.465
H4 0.488 0.819 0.120

Output
For the calculated total energy, the calculation gives -51.20 eV for the cell shown. The spin magnetization is 0.00 μB per cell. The volume comes out at 14.64 Å³ per atom.


# 3
First-principles (PBE) data for crystalline Ni2BiH at its relaxed geometry, as listed in Alexandria.

a = 5.376 Å, b = 5.376 Å, c = 5.249 Å
α = 59.20°, β = 59.20°, γ = 90.00°
Fractional coordinates of all 8 atoms:
Ni1 0.375 0.571 0.750
H1 0.500 0.500 0.000
Bi1 0.000 0.000 0.000
Ni2 0.429 0.125 0.250
Ni3 0.875 0.679 0.750
Bi2 0.750 0.250 0.500
H2 0.250 0.750 0.500
Ni4 0.321 0.625 0.250

Output
For the calculated total energy, the calculation gives -37.03 eV for the cell shown. The spin magnetization is 0.00 μB per cell. The volume comes out at 13.08 Å³ per atom.


# 4
First-principles (PBE) data for crystalline Ni3BiH at its relaxed geometry, as listed in Alexandria.

a = 3.879 Å, b = 3.879 Å, c = 3.879 Å
α = 90.00°, β = 90.00°, γ = 90.00°
Fractional coordinates of all 5 atoms:
Ni1 0.000 0.500 0.000
Bi1 0.500 0.500 0.500
Ni2 0.500 0.000 0.000
H1 0.000 0.000 0.000
Ni3 0.000 0.000 0.500

Output
For the calculated total energy, the calculation gives -24.10 eV for the cell shown. The spin magnetization is 0.00 μB per cell. The volume comes out at 11.67 Å³ per atom.


# 5
First-principles (PBE) data for crystalline NiBiH at its relaxed geometry, as listed in Alexandria.

a = 3.170 Å, b = 3.170 Å, c = 4.938 Å
α = 90.00°, β = 90.00°, γ = 120.00°
Fractional coordinates of all 3 atoms:
Bi1 0.000 0.000 0.000
Ni1 0.667 0.333 0.500
H1 0.333 0.667 0.500

Output
For the calculated total energy, the calculation gives -12.17 eV for the cell shown. The spin magnetization is 0.00 μB per cell. The volume comes out at 14.32 Å³ per atom.


# 6
First-principles (PBE) data for crystalline Ni5Bi3H12 at its relaxed geometry, as listed in Alexandria.

a = 10.015 Å, b = 10.015 Å, c = 10.015 Å
α = 109.47°, β = 109.47°, γ = 109.47°
Fractional coordinates of all 80 atoms:
H1 0.165 0.477 0.579
Ni1 0.250 0.375 0.625
Ni2 0.000 0.000 0.000
Ni3 0.875 0.250 0.625
Ni4 0.500 0.500 0.500
Bi1 0.375 0.625 0.250
H2 0.914 0.812 0.835
H3 0.312 0.477 0.398
H4 0.835 0.523 0.421
Ni5 0.000 0.500 0.500
Bi2 0.125 0.875 0.750
H5 0.188 0.102 0.023
H6 0.398 0.977 0.312
Ni6 0.750 0.625 0.375
H7 0.579 0.602 0.914
Ni7 0.375 0.125 0.750
H8 0.579 0.977 0.165
Bi3 0.125 0.250 0.875
Ni8 0.625 0.875 0.250
H9 0.914 0.102 0.579
Bi4 0.250 0.625 0.875
Ni9 0.750 0.125 0.875
H10 0.477 0.165 0.079
H11 0.023 0.421 0.335
Ni10 0.500 0.500 0.000
Ni11 0.625 0.750 0.875
H12 0.688 0.523 0.602
Bi5 0.750 0.375 0.125
H13 0.414 0.079 0.602
H14 0.688 0.165 0.586
Bi6 0.875 0.125 0.250
Bi7 0.250 0.125 0.375
H15 0.188 0.086 0.665
H16 0.477 0.312 0.898
H17 0.665 0.079 0.977
H18 0.602 0.023 0.688
H19 0.086 0.898 0.421
H20 0.312 0.835 0.414
H21 0.335 0.414 0.812
H22 0.523 0.835 0.921
H23 0.102 0.914 0.079
H24 0.921 0.586 0.898
H25 0.812 0.914 0.335
H26 0.414 0.335 0.312
H27 0.421 0.398 0.086
H28 0.079 0.665 0.477
H29 0.335 0.921 0.023
H30 0.079 0.414 0.102
H31 0.602 0.579 0.414
Ni12 0.125 0.750 0.375
H32 0.586 0.921 0.398
H33 0.898 0.812 0.477
H34 0.898 0.086 0.921
Bi8 0.750 0.875 0.625
H35 0.165 0.688 0.086
H36 0.523 0.688 0.102
H37 0.102 0.188 0.523
Bi9 0.375 0.750 0.625
Ni13 0.000 0.000 0.500
H38 0.398 0.421 0.586
Ni14 0.875 0.625 0.750
H39 0.921 0.335 0.523
Ni15 0.125 0.375 0.250
H40 0.086 0.188 0.165
Ni16 0.000 0.500 0.000
Ni17 0.250 0.875 0.125
Bi10 0.875 0.750 0.125
Bi11 0.625 0.375 0.750
Ni18 0.500 0.000 0.000
Ni19 0.375 0.250 0.125
Bi12 0.625 0.250 0.375
H41 0.023 0.602 0.188
H42 0.812 0.898 0.977
H43 0.835 0.312 0.914
Ni20 0.500 0.000 0.500
H44 0.665 0.586 0.188
H45 0.977 0.398 0.812
H46 0.977 0.579 0.665
H47 0.586 0.665 0.688
H48 0.421 0.023 0.835

Output
For the calculated total energy, the calculation gives -299.66 eV for the cell shown. The spin magnetization is 0.00 μB per cell. The volume comes out at 9.67 Å³ per atom.


# 7
First-principles (PBE) data for crystalline Ni3BiH at its relaxed geometry, as listed in Alexandria.

a = 4.900 Å, b = 4.900 Å, c = 4.900 Å
α = 90.00°, β = 90.00°, γ = 90.00°
Site moments in Bohr magnetons follow the coordinates.
Fractional coordinates of all 5 atoms:
Bi1 0.000 0.000 0.000  -0.01
Ni1 0.000 0.500 0.000  -0.52
H1 0.500 0.500 0.500  0.32
Ni2 0.000 0.000 0.500  -0.23
Ni3 0.500 0.000 0.000  -0.62

Output
For the calculated total energy, the calculation gives -16.24 eV for the cell shown. The spin magnetization is 0.71 μB per cell. The volume comes out at 23.53 Å³ per atom.


# 8
First-principles (PBE) data for crystalline NiBiHPd2 at its relaxed geometry, as listed in Alexandria.

a = 3.905 Å, b = 4.772 Å, c = 3.905 Å
α = 90.00°, β = 90.00°, γ = 90.00°
Fractional coordinates of all 5 atoms:
Ni1 0.500 0.500 0.500
Pd1 0.500 0.000 0.000
Bi1 0.000 0.500 0.000
H1 0.000 0.000 0.000
Pd2 0.000 0.000 0.500

Output
For the calculated total energy, the calculation gives -22.83 eV for the cell shown. The spin magnetization is 0.00 μB per cell. The volume comes out at 14.56 Å³ per atom.


# 9
First-principles (PBE) data for crystalline NiBiHPd2 at its relaxed geometry, as listed in Alexandria.

a = 4.087 Å, b = 4.087 Å, c = 4.163 Å
α = 90.00°, β = 90.00°, γ = 90.00°
Fractional coordinates of all 5 atoms:
H1 0.000 0.000 0.000
Bi1 0.500 0.500 0.500
Pd1 0.500 0.000 0.000
Ni1 0.000 0.000 0.500
Pd2 0.000 0.500 0.000

Output
For the calculated total energy, the calculation gives -23.62 eV for the cell shown. The spin magnetization is 0.00 μB per cell. The volume comes out at 13.91 Å³ per atom.


# 10
First-principles (PBE) data for crystalline Ni2BiHPd at its relaxed geometry, as listed in Alexandria.

a = 4.074 Å, b = 4.074 Å, c = 3.875 Å
α = 90.00°, β = 90.00°, γ = 90.00°
Fractional coordinates of all 5 atoms:
H1 0.000 0.000 0.000
Ni1 0.000 0.500 0.000
Ni2 0.500 0.000 0.000
Bi1 0.500 0.500 0.500
Pd1 0.000 0.000 0.500

Output
For the calculated total energy, the calculation gives -23.74 eV for the cell shown. The spin magnetization is 0.00 μB per cell. The volume comes out at 12.86 Å³ per atom.


# 11
First-principles (PBE) data for crystalline NiBiHPt2 at its relaxed geometry, as listed in Alexandria.

a = 4.010 Å, b = 4.010 Å, c = 4.473 Å
α = 90.00°, β = 90.00°, γ = 90.00°
Fractional coordinates of all 5 atoms:
Pt1 0.000 0.500 0.000
Bi1 0.500 0.500 0.500
H1 0.000 0.000 0.000
Pt2 0.500 0.000 0.000
Ni1 0.000 0.000 0.500

Output
For the calculated total energy, the calculation gives -24.64 eV for the cell shown. The spin magnetization is 0.00 μB per cell. The volume comes out at 14.38 Å³ per atom.


# 12
First-principles (PBE) data for crystalline Ni2BiHPt at its relaxed geometry, as listed in Alexandria.

a = 4.184 Å, b = 4.184 Å, c = 3.749 Å
α = 90.00°, β = 90.00°, γ = 90.00°
Fractional coordinates of all 5 atoms:
Ni1 0.000 0.500 0.000
Pt1 0.000 0.000 0.500
H1 0.000 0.000 0.000
Ni2 0.500 0.000 0.000
Bi1 0.500 0.500 0.500

Output
For the calculated total energy, the calculation gives -24.37 eV for the cell shown. The spin magnetization is 0.00 μB per cell. The volume comes out at 13.12 Å³ per atom.


- spin magnetization of number 8 (NiBiHPd2)?
  0.00 μB per cell


- Which value of spin magnetization does entry 10 give?
  0.00 μB per cell


- Which value of volume does entry 10 give?
  12.86 Å³ per atom


Copy entry 10 word for word.
First-principles (PBE) data for crystalline Ni2BiHPd at its relaxed geometry, as listed in Alexandria.

a = 4.074 Å, b = 4.074 Å, c = 3.875 Å
α = 90.00°, β = 90.00°, γ = 90.00°
Fractional coordinates of all 5 atoms:
H1 0.000 0.000 0.000
Ni1 0.000 0.500 0.000
Ni2 0.500 0.000 0.000
Bi1 0.500 0.500 0.500
Pd1 0.000 0.000 0.500

Output
For the calculated total energy, the calculation gives -23.74 eV for the cell shown. The spin magnetization is 0.00 μB per cell. The volume comes out at 12.86 Å³ per atom.